18
Lattice="-3.5028 2.3730 -3.1439 3.3833 -3.5118 -2.0013 -5.7275 -6.4010 1.5498" Properties=species:S:1:pos:R:3 comment="MgNpCoO6 (GGA+U, optimized geometry)" m_tot_mub_per_atom=0.221 dft_energy_ev_per_atom=-7.45 pbc="T T T"
Co -2.8637 -3.2005 0.7749
O -3.0848 0.3769 -3.5630
Mg -5.5030 -4.3893 -1.6007
O -2.4895 -5.1817 0.2556
O -4.4472 -0.8288 -1.5621
Co 0.0000 0.0000 0.0000
O -3.3575 -2.3581 -3.8511
O -2.7622 -7.9167 -0.0325
Np -3.2077 -6.3510 -1.2199
O -1.8799 -0.0549 -0.8933
O -3.9671 -7.4850 -2.7022
Np -2.6393 -1.1888 -2.3756
Mg -0.3440 -3.1505 -1.9948
O -4.9939 -5.9983 -0.3567
O -2.2134 -2.7267 -1.1454
O -1.3998 -6.7110 -2.0334
O -0.8531 -1.5415 -3.2388
O -3.6336 -4.8131 -2.4501